No. 1
# TcH2IO, optimized geometry, DFT PBEsol
# - DFT total energy (eV per atom) = -4.6396
# - total moment (μB per cell) = 0.0
data_TcH2IO
_chemical_formula_sum 'Tc1 H2 I1 O1'
_space_group_name_H-M_alt 'P 4/m m m'
_space_group_IT_number 123
_space_group_name_Hall '-P 4 2'
_cell_length_a 4.096
_cell_length_b 4.096
_cell_length_c 3.667
_cell_angle_alpha 90.00
_cell_angle_beta 90.00
_cell_angle_gamma 90.00
loop_
_atom_site_label
_atom_site_fract_x
_atom_site_fract_y
_atom_site_fract_z
Tc1 0.000 0.000 0.000
H1 0.000 0.500 0.000
I1 0.500 0.500 0.500
O1 0.000 0.000 0.500

***

No. 2
# AgPt2W, optimized geometry, DFT PBEsol
# - DFT total energy (eV per atom) = -7.6606
# - total moment (μB per cell) = 0.0
# - E_form (eV/f.u.) = 0.4
data_AgPt2W
_chemical_formula_sum 'Ag2 Pt4 W2'
_space_group_name_H-M_alt 'I m m 2'
_space_group_IT_number 44
_cell_length_a 2.714
_cell_length_b 4.419
_cell_length_c 11.154
_cell_angle_alpha 90.00
_cell_angle_beta 90.00
_cell_angle_gamma 90.00
loop_
_space_group_symop_operation_xyz
'x,y,z'
'-x,-y,z'
'-x,y,z'
'x,-y,z'
'x+1/2,y+1/2,z+1/2'
'-x+1/2,-y+1/2,z+1/2'
'-x+1/2,y+1/2,z+1/2'
'x+1/2,-y+1/2,z+1/2'
loop_
_atom_site_label
_atom_site_fract_x
_atom_site_fract_y
_atom_site_fract_z
Ag1 0.000 0.000 0.000
Pt1 0.000 0.000 0.427
Pt2 0.000 0.500 0.159
W1 0.000 0.500 0.733